1.
Below is an optimized crystal structure of LiSiNiSn, with properties calculated at the PBE-GGA level.

extended XYZ file:
```
4
Lattice="0.0000 3.1066 3.1066 3.1066 0.0000 3.1066 3.1066 3.1066 0.0000" Properties=species:S:1:pos:R:3 pbc="T T T"
Li 0.0000 0.0000 0.0000
Si 1.5533 1.5533 1.5533
Ni 3.1066 3.1066 3.1066
Sn 4.6599 4.6599 4.6599
```

The distance to the lowest polymorph of the same formula is 0 meV per atom.

---

2.
Below is an optimized crystal structure of GdHfSi2, with properties calculated at the PBE-GGA level.

extended XYZ file:
```
8
Lattice="3.7809 0.0000 0.0000 0.0000 5.5181 0.0000 0.0000 0.0000 7.4675" Properties=species:S:1:pos:R:3 pbc="T T T"
Gd 0.0000 0.7075 0.0000
Gd 0.0000 4.8106 3.7337
Hf 1.8905 2.0620 4.7868
Hf 1.8905 3.4561 1.0531
Si 0.0000 2.1607 2.7055
Si 0.0000 3.3574 6.4393
Si 1.8905 0.6997 2.1258
Si 1.8905 4.8184 5.8595
```

The distance to the lowest polymorph of the same formula is 47 meV per atom.

---

3.
Below is an optimized crystal structure of DyC, with properties calculated at the PBE-GGA level.

extended XYZ file:
```
4
Lattice="4.3418 0.0000 0.0000 -2.1709 3.7601 0.0000 0.0000 0.0000 4.7522" Properties=species:S:1:pos:R:3 pbc="T T T"
Dy 0.0000 2.5067 1.1880
Dy 2.1709 1.2534 3.5641
C 0.0000 2.5067 3.5641
C 2.1709 1.2534 1.1880
```

The value obtained for the total energy is -6.63 eV per atom.

---

4.
Below is an optimized crystal structure of Mg2Sc2CdAu3, with properties calculated at the PBE-GGA level.

extended XYZ file:
```
8
Lattice="4.7691 0.0000 0.0000 0.0000 4.7691 0.0000 0.0000 0.0000 6.7891" Properties=species:S:1:pos:R:3 pbc="T T T"
Mg 0.0000 2.3846 1.6516
Mg 2.3846 0.0000 5.1375
Sc 0.0000 2.3846 5.1758
Sc 2.3846 0.0000 1.6133
Cd 0.0000 0.0000 3.3946
Au 0.0000 0.0000 0.0000
Au 2.3846 2.3846 0.0000
Au 2.3846 2.3846 3.3946
```

The value obtained for the total energy is -3.94 eV per atom.